1.
This record from the Alexandria database describes a relaxed ZrSiS2Cl crystal. The functional is PBE.

## Properties
DFT total energy   -4.9142 eV per atom
Theoretical density   3.78 g/cm3
Relative energy among the computed polymorphs   0.236 eV/atom
DOS(E_F)   3.9 states/eV/f.u.
Raw formation energy   -100 meV/atom
Symmetry   P4/mmm (123)
Spin magnetization   1.546 μB/f.u.

a b c (Å): 4.6246 4.5018 4.6246
angles (deg): 90.00 90.00 90.00
Each line ends with the local moment (μB).
Positions (direct):
S  0.0000  0.0000  0.5000  -0.05
S  0.5000  0.0000  0.0000  -0.05
Si  0.0000  0.0000  0.0000  0.00
Zr  0.5000  0.5000  0.5000  1.15
Cl  0.0000  0.5000  0.0000  -0.02

2.
This record from the Alexandria database describes a relaxed ZrSiS2Cl crystal. The functional is PBE.

## Properties
DFT total energy   -5.1499 eV per atom
Theoretical density   2.92 g/cm3
Relative energy among the computed polymorphs   0.000 eV/atom
DOS(E_F)   2.0 states/eV/f.u.
Raw formation energy   -335 meV/atom
Symmetry   P4/mmm (123)
Spin magnetization   0.865 μB/f.u.

a b c (Å): 5.0114 5.0114 4.9579
angles (deg): 90.00 90.00 90.00
Each line ends with the local moment (μB).
Positions (direct):
S  0.0000  0.5000  0.0000  -0.03
S  0.5000  0.0000  0.0000  -0.03
Si  0.5000  0.5000  0.5000  0.28
Zr  0.0000  0.0000  0.0000  0.04
Cl  0.0000  0.0000  0.5000  0.01

3.
This record from the Alexandria database describes a relaxed ZrSiSCl2 crystal. The functional is PBE.

## Properties
DFT total energy   -4.3209 eV per atom
Theoretical density   3.44 g/cm3
Relative energy among the computed polymorphs   0.426 eV/atom
DOS(E_F)   4.0 states/eV/f.u.
Raw formation energy   38 meV/atom
Symmetry   P4/mmm (123)
Spin magnetization   2.179 μB/f.u.

a b c (Å): 4.6877 4.6877 4.8861
angles (deg): 90.00 90.00 90.00
Each line ends with the local moment (μB).
Positions (direct):
S  0.0000  0.0000  0.5000  -0.06
Si  0.0000  0.0000  0.0000  -0.01
Zr  0.5000  0.5000  0.5000  1.52
Cl  0.0000  0.5000  0.0000  -0.01
Cl  0.5000  0.0000  0.0000  -0.01

4.
This record from the Alexandria database describes a relaxed ZrSiSCl2 crystal. The functional is PBE.

## Properties
DFT total energy   -4.7470 eV per atom
Theoretical density   2.89 g/cm3
Relative energy among the computed polymorphs   0.000 eV/atom
DOS(E_F)   4.2 states/eV/f.u.
Raw formation energy   -389 meV/atom
Symmetry   P4/mmm (123)
Spin magnetization   1.475 μB/f.u.

a b c (Å): 5.0315 5.0315 5.0434
angles (deg): 90.00 90.00 90.00
Each line ends with the local moment (μB).
Positions (direct):
S  0.0000  0.0000  0.5000  -0.03
Si  0.5000  0.5000  0.5000  0.41
Zr  0.0000  0.0000  0.0000  0.10
Cl  0.0000  0.5000  0.0000  0.02
Cl  0.5000  0.0000  0.0000  0.02